# VCoO4 (PBE+U, optimized geometry)
# Size of the total moment   0.0 μB/cell
# Calculated total energy   -161.4 eV per cell
data_VCoO4
_space_group_name_H-M_alt 'I m m a'
_space_group_IT_number 74
_space_group_name_Hall '-I 2b 2'
_cell_length_a 5.684
_cell_length_b 5.798
_cell_length_c 7.863
_cell_angle_alpha 90.00
_cell_angle_beta 90.00
_cell_angle_gamma 90.00
loop_
_atom_site_label
_atom_site_fract_x
_atom_site_fract_y
_atom_site_fract_z
V1 0.000 0.250 0.127
Co1 0.000 0.000 0.500
O1 0.000 0.019 0.257
O2 0.226 0.250 0.499